Record 1
VASP calculation (PBE) on crystalline Gd32O21 at its relaxed geometry.

Results
- spin magnetization (Bohr magnetons per cell) = 15.65
- electronic total energy (eV per cell) = -366.570

Cell lengths 10.6417, 10.6417, 10.6417 Å; angles 90.13, 90.13, 90.13 degrees
With the nearest neighbours (Å) after each atom.
Atoms (fractional coordinates):
Gd (0.0000, 0.0000, 0.0000)  3 O 2.30
Gd (0.0042, 0.2622, 0.7638)  3 O 2.26-2.27
Gd (0.0042, 0.7638, 0.2622)  3 O 2.26-2.27
Gd (0.0074, 0.5074, 0.5074)  4 O 2.30-2.33
Gd (0.0078, 0.0078, 0.4993)  2 O 2.25
Gd (0.0078, 0.4993, 0.0078)  2 O 2.25
Gd (0.0091, 0.7588, 0.7588)  2 O 2.24-2.27
Gd (0.2540, 0.5128, 0.7607)  3 O 2.28-2.30
Gd (0.2540, 0.7607, 0.5128)  3 O 2.28-2.30
Gd (0.2613, 0.2613, 0.4977)  2 O 2.27
Gd (0.2613, 0.4977, 0.2613)  2 O 2.27
Gd (0.2622, 0.0042, 0.7638)  3 O 2.26-2.27
Gd (0.2622, 0.7638, 0.0042)  3 O 2.26-2.27
Gd (0.2634, 0.2634, 0.9987)  3 O 2.24-2.27
Gd (0.2634, 0.9987, 0.2634)  3 O 2.24-2.27
Gd (0.4977, 0.2613, 0.2613)  2 O 2.27
Gd (0.4993, 0.0078, 0.0078)  2 O 2.25
Gd (0.5027, 0.7548, 0.7548)  2 O 2.28
Gd (0.5048, 0.5048, 0.5048)  12 Gd 3.66-3.82
Gd (0.5074, 0.0074, 0.5074)  4 O 2.30-2.33
Gd (0.5074, 0.5074, 0.0074)  4 O 2.30-2.33
Gd (0.5128, 0.2540, 0.7607)  3 O 2.28-2.30
Gd (0.5128, 0.7607, 0.2540)  3 O 2.28-2.30
Gd (0.7548, 0.5027, 0.7548)  2 O 2.28
Gd (0.7548, 0.7548, 0.5027)  2 O 2.28
Gd (0.7588, 0.0091, 0.7588)  2 O 2.24-2.27
Gd (0.7588, 0.7588, 0.0091)  2 O 2.24-2.27
Gd (0.7607, 0.2540, 0.5128)  3 O 2.28-2.30
Gd (0.7607, 0.5128, 0.2540)  3 O 2.28-2.30
Gd (0.7638, 0.0042, 0.2622)  3 O 2.26-2.27
Gd (0.7638, 0.2622, 0.0042)  3 O 2.26-2.27
Gd (0.9987, 0.2634, 0.2634)  3 O 2.24-2.27
O (0.1289, 0.3810, 0.3810)  4 Gd 2.24-2.30
O (0.1287, 0.6365, 0.6365)  4 Gd 2.24-2.33
O (0.1331, 0.3847, 0.8818)  4 Gd 2.25-2.28
O (0.1331, 0.8818, 0.3847)  4 Gd 2.25-2.28
O (0.1352, 0.8807, 0.8807)  4 Gd 2.26-2.30
O (0.3810, 0.1289, 0.3810)  4 Gd 2.24-2.30
O (0.3810, 0.3810, 0.1289)  4 Gd 2.24-2.30
O (0.3815, 0.6348, 0.8838)  4 Gd 2.27-2.32
O (0.3815, 0.8838, 0.6348)  4 Gd 2.27-2.32
O (0.3847, 0.1331, 0.8818)  4 Gd 2.25-2.28
O (0.3847, 0.8818, 0.1331)  4 Gd 2.25-2.28
O (0.6348, 0.3815, 0.8838)  4 Gd 2.27-2.32
O (0.6348, 0.8838, 0.3815)  4 Gd 2.27-2.32
O (0.6365, 0.1287, 0.6365)  4 Gd 2.24-2.33
O (0.6365, 0.6365, 0.1287)  4 Gd 2.24-2.33
O (0.8807, 0.1352, 0.8807)  4 Gd 2.26-2.30
O (0.8807, 0.8807, 0.1352)  4 Gd 2.26-2.30
O (0.8818, 0.1331, 0.3847)  4 Gd 2.25-2.28
O (0.8818, 0.3847, 0.1331)  4 Gd 2.25-2.28
O (0.8838, 0.3815, 0.6348)  4 Gd 2.27-2.32
O (0.8838, 0.6348, 0.3815)  4 Gd 2.27-2.32

=====

Record 2
VASP calculation (PBE) on crystalline Gd2O3 at its relaxed geometry.

Results
- spin magnetization (Bohr magnetons per cell) = 0.00
- electronic total energy (eV per cell) = -334.745

Cell lengths 9.2972, 9.2972, 9.2972 Å; angles 109.47, 109.47, 109.47 degrees
With the nearest neighbours (Å) after each atom.
Atoms (fractional coordinates):
Gd (0.0000, 0.0000, 0.5000)  6 O 2.31
Gd (0.0000, 0.5000, 0.0000)  6 O 2.31
Gd (0.0316, 0.7500, 0.7816)  6 O 2.28-2.37
Gd (0.2184, 0.9684, 0.2500)  6 O 2.28-2.37
Gd (0.2500, 0.2184, 0.9684)  6 O 2.28-2.37
Gd (0.2500, 0.7184, 0.4684)  6 O 2.28-2.37
Gd (0.2816, 0.5316, 0.7500)  6 O 2.28-2.37
Gd (0.4684, 0.2500, 0.7184)  6 O 2.28-2.37
Gd (0.5000, 0.0000, 0.0000)  6 O 2.31
Gd (0.5000, 0.5000, 0.5000)  6 O 2.31
Gd (0.5316, 0.7500, 0.2816)  6 O 2.28-2.37
Gd (0.7184, 0.4684, 0.2500)  6 O 2.28-2.37
Gd (0.7500, 0.2816, 0.5316)  6 O 2.28-2.37
Gd (0.7500, 0.7816, 0.0316)  6 O 2.28-2.37
Gd (0.7816, 0.0316, 0.7500)  6 O 2.28-2.37
Gd (0.9684, 0.2500, 0.2184)  6 O 2.28-2.37
O (0.0123, 0.0421, 0.2719)  4 Gd 2.28-2.37
O (0.0298, 0.4877, 0.7595)  4 Gd 2.28-2.37
O (0.0421, 0.2719, 0.0123)  4 Gd 2.28-2.37
O (0.2281, 0.2703, 0.7405)  4 Gd 2.28-2.37
O (0.2297, 0.4579, 0.4702)  4 Gd 2.28-2.37
O (0.2405, 0.9702, 0.5123)  4 Gd 2.28-2.37
O (0.2595, 0.7719, 0.7297)  4 Gd 2.28-2.37
O (0.2703, 0.7405, 0.2281)  4 Gd 2.28-2.37
O (0.2719, 0.0123, 0.0421)  4 Gd 2.28-2.37
O (0.4579, 0.4702, 0.2297)  4 Gd 2.28-2.37
O (0.4702, 0.2297, 0.4579)  4 Gd 2.28-2.37
O (0.4877, 0.7595, 0.0298)  4 Gd 2.28-2.37
O (0.5123, 0.2405, 0.9702)  4 Gd 2.28-2.37
O (0.5298, 0.7703, 0.5421)  4 Gd 2.28-2.37
O (0.5421, 0.5298, 0.7703)  4 Gd 2.28-2.37
O (0.7281, 0.9877, 0.9579)  4 Gd 2.28-2.37
O (0.7297, 0.2595, 0.7719)  4 Gd 2.28-2.37
O (0.7405, 0.2281, 0.2703)  4 Gd 2.28-2.37
O (0.7595, 0.0298, 0.4877)  4 Gd 2.28-2.37
O (0.7703, 0.5421, 0.5298)  4 Gd 2.28-2.37
O (0.7719, 0.7297, 0.2595)  4 Gd 2.28-2.37
O (0.9579, 0.7281, 0.9877)  4 Gd 2.28-2.37
O (0.9702, 0.5123, 0.2405)  4 Gd 2.28-2.37
O (0.9877, 0.9579, 0.7281)  4 Gd 2.28-2.37

=====

Record 3
VASP calculation (PBE) on crystalline GdO at its relaxed geometry.

Results
- spin magnetization (Bohr magnetons per cell) = 0.15
- electronic total energy (eV per cell) = -30.242

Cell lengths 4.0017, 4.0017, 4.8830 Å; angles 90.00, 90.00, 120.00 degrees
With the nearest neighbours (Å) after each atom.
Atoms (fractional coordinates):
Gd (0.3333, 0.6667, 0.2500)  5 O 2.31-2.44
Gd (0.6667, 0.3333, 0.7500)  5 O 2.31-2.44
O (0.3333, 0.6667, 0.7500)  5 Gd 2.31-2.44
O (0.6667, 0.3333, 0.2500)  5 Gd 2.31-2.44

=====

Record 4
VASP calculation (PBE) on crystalline Gd2Os2O5 at its relaxed geometry.

Results
- spin magnetization (Bohr magnetons per cell) = 0.21
- distance to the lowest polymorph of the same formula (meV per atom) = 0
- electronic total energy (eV per cell) = -71.474

Cell lengths 3.9403, 3.9403, 6.9466 Å; angles 90.00, 90.00, 90.00 degrees
With the nearest neighbours (Å) after each atom.
Atoms (fractional coordinates):
Gd (0.0000, 0.0000, 0.0000)  8 O 2.58
Gd (0.0000, 0.0000, 0.5000)  12 O 2.67-2.79
Os (0.5000, 0.5000, 0.1881)  5 O 2.00-2.17
Os (0.5000, 0.5000, 0.8119)  5 O 2.00-2.17
O (0.0000, 0.5000, 0.2397)  2 Os 2.00
O (0.0000, 0.5000, 0.7603)  2 Os 2.00
O (0.5000, 0.0000, 0.2397)  2 Os 2.00
O (0.5000, 0.0000, 0.7603)  2 Os 2.00
O (0.5000, 0.5000, 0.5000)  2 Os 2.17

=====

Record 5
VASP calculation (PBE) on crystalline Gd3OsO7 at its relaxed geometry.

Results
- spin magnetization (Bohr magnetons per cell) = 6.00
- electronic total energy (eV per cell) = -179.951

Cell lengths 6.4379, 6.4379, 7.4034 Å; angles 90.00, 90.00, 69.30 degrees
With the nearest neighbours (Å) after each atom.
Atoms (fractional coordinates):
Gd (0.0000, 0.0000, 0.0000)  4 O 2.33
Gd (0.0000, 0.0000, 0.5000)  4 O 2.33
Gd (0.0734, 0.4775, 0.7500)  6 O 2.23-2.38
Gd (0.4775, 0.0734, 0.2500)  6 O 2.23-2.38
Gd (0.5225, 0.9266, 0.7500)  6 O 2.23-2.38
Gd (0.9266, 0.5225, 0.2500)  6 O 2.23-2.38
Os (0.5000, 0.5000, 0.0000)  6 O 1.97
Os (0.5000, 0.5000, 0.5000)  6 O 1.97
O (0.1088, 0.1567, 0.2500)  4 Gd 2.23-2.33
O (0.1567, 0.1088, 0.7500)  4 Gd 2.23-2.33
O (0.1807, 0.5637, 0.0395)  1 Os 1.97
O (0.1807, 0.5637, 0.4605)  1 Os 1.97
O (0.4082, 0.5918, 0.7500)  2 Os 1.97
O (0.4363, 0.8193, 0.0395)  1 Os 1.97
O (0.4363, 0.8193, 0.4605)  1 Os 1.97
O (0.5637, 0.1807, 0.5395)  1 Os 1.97
O (0.5637, 0.1807, 0.9605)  1 Os 1.97
O (0.5918, 0.4082, 0.2500)  2 Os 1.97
O (0.8193, 0.4363, 0.5395)  1 Os 1.97
O (0.8193, 0.4363, 0.9605)  1 Os 1.97
O (0.8433, 0.8912, 0.2500)  4 Gd 2.23-2.33
O (0.8912, 0.8433, 0.7500)  4 Gd 2.23-2.33

=====

Record 6
VASP calculation (PBE) on crystalline Gd2Os2O5 at its relaxed geometry.

Results
- spin magnetization (Bohr magnetons per cell) = 1.15
- distance to the lowest polymorph of the same formula (meV per atom) = 350
- electronic total energy (eV per cell) = -68.326

Cell lengths 3.5498, 3.5498, 9.4645 Å; angles 90.00, 90.00, 90.00 degrees
With the nearest neighbours (Å) after each atom.
Atoms (fractional coordinates):
Gd (0.0000, 0.0000, 0.2353)  5 O 2.23
Gd (0.0000, 0.0000, 0.7647)  5 O 2.23
Os (0.5000, 0.5000, 0.0000)  4 O 2.51
Os (0.5000, 0.5000, 0.5000)  8 O 2.12
O (0.0000, 0.0000, 0.0000)  2 Gd 2.23
O (0.0000, 0.5000, 0.3774)  2 Os 2.12, 2 Gd 2.23, 1 O 2.32
O (0.0000, 0.5000, 0.6226)  2 Os 2.12, 2 Gd 2.23, 1 O 2.32
O (0.5000, 0.0000, 0.3774)  2 Os 2.12, 2 Gd 2.23, 1 O 2.32
O (0.5000, 0.0000, 0.6226)  2 Os 2.12, 2 Gd 2.23, 1 O 2.32

=====

- Among the records above, which one has the highest spin magnetization?
  Gd32O21

=====

- Which of these has the highest electronic total energy?
  GdO

=====

- The lowest electronic total energy belongs to which entry?
  Gd32O21